<A>
! TiTl3I6 PBE optimized geometry; values from VASP
&SYSTEM
  ibrav = 0, nat = 20, ntyp = 3
/
ATOMIC_SPECIES
Ti 47.87 Ti.upf
Tl 204.38 Tl.upf
I 126.90 I.upf
CELL_PARAMETERS angstrom
7.996 0.000 -0.837
0.000 8.884 0.000
0.343 0.000 11.676
ATOMIC_POSITIONS angstrom
Ti 4.170 4.442 5.420
Ti 0.000 0.000 0.000
Tl 3.936 0.830 8.560
Tl 3.998 4.442 -0.418
Tl 4.404 8.053 2.279
Tl 7.762 3.612 2.304
Tl 0.172 0.000 5.838
Tl 0.578 5.272 8.536
I 2.653 7.439 10.884
I 3.007 6.852 6.385
I 2.994 4.899 2.894
I 5.345 3.985 7.945
I 5.332 2.032 4.454
I 5.686 1.445 -0.045
I 6.479 5.887 4.628
I 6.833 6.474 0.129
I 7.164 8.427 8.314
I 1.175 0.457 2.526
I 1.506 2.410 10.710
I 1.860 2.997 6.211
! - total moment (μB/atom) = 0.100

<B>
! TiTl3I6 PBE optimized geometry; values from VASP
&SYSTEM
  ibrav = 0, nat = 10, ntyp = 3
/
ATOMIC_SPECIES
Ti 47.87 Ti.upf
Tl 204.38 Tl.upf
I 126.90 I.upf
CELL_PARAMETERS angstrom
7.854 -0.206 0.000
-1.424 7.727 0.000
-3.215 -3.761 7.699
ATOMIC_POSITIONS angstrom
Ti 0.000 0.000 0.000
Tl 3.927 -0.103 3.850
Tl 3.215 3.761 0.000
Tl -0.712 3.863 3.850
I 1.909 2.233 5.696
I 5.124 5.993 2.004
I -1.909 -2.233 5.696
I 1.306 1.528 2.004
I 5.745 1.597 0.000
I 0.685 5.924 0.000
! - total moment (μB/atom) = 0.100

Which is the most stable structure? <A> is the most stable.

<A>
! TiVI2 PBE optimized geometry; values from VASP
&SYSTEM
  ibrav = 0, nat = 8, ntyp = 3
/
ATOMIC_SPECIES
I 126.90 I.upf
V 50.94 V.upf
Ti 47.87 Ti.upf
CELL_PARAMETERS angstrom
-1.844 -3.853 4.740
1.105 -5.080 -3.700
5.742 -4.719 2.692
ATOMIC_POSITIONS angstrom
I 0.414 -4.239 3.193
I 1.903 -4.821 -1.066
I 4.025 -6.868 2.425
I 3.665 -11.377 2.915
V 0.000 0.000 0.000
V 1.765 -6.519 3.976
Ti -0.369 -4.467 0.520
Ti 3.239 -7.133 -0.244
! - total moment (μB/atom) = 1.650

<B>
! TiVI2 PBE optimized geometry; values from VASP
&SYSTEM
  ibrav = 0, nat = 4, ntyp = 3
/
ATOMIC_SPECIES
I 126.90 I.upf
V 50.94 V.upf
Ti 47.87 Ti.upf
CELL_PARAMETERS angstrom
0.000 3.492 3.492
3.492 0.000 3.492
3.492 3.492 0.000
ATOMIC_POSITIONS angstrom
I 1.746 1.746 1.746
I 5.237 5.237 5.237
V 3.492 3.492 3.492
Ti 0.000 0.000 0.000
! - total moment (μB/atom) = 0.723

Which is the most stable structure? <B> is the most stable.

<A>
! TiV3I PBE optimized geometry; values from VASP
&SYSTEM
  ibrav = 0, nat = 5, ntyp = 3
/
ATOMIC_SPECIES
I 126.90 I.upf
V 50.94 V.upf
Ti 47.87 Ti.upf
CELL_PARAMETERS angstrom
4.754 0.000 0.000
0.000 4.754 0.000
0.000 0.000 4.754
ATOMIC_POSITIONS angstrom
I 0.000 0.000 0.000
V 0.000 2.377 0.000
V 0.000 0.000 2.377
V 2.377 0.000 0.000
Ti 2.377 2.377 2.377
! - total moment (μB/atom) = 0.487

<B>
! TiV3I PBE optimized geometry; values from VASP
&SYSTEM
  ibrav = 0, nat = 5, ntyp = 3
/
ATOMIC_SPECIES
I 126.90 I.upf
V 50.94 V.upf
Ti 47.87 Ti.upf
CELL_PARAMETERS angstrom
-3.020 3.334 -0.819
-2.293 -1.147 3.786
2.555 2.911 2.430
ATOMIC_POSITIONS angstrom
I -1.379 2.550 2.698
V -1.147 -0.573 1.893
V 1.278 1.456 1.215
V -1.510 1.667 -0.410
Ti 0.000 0.000 0.000
! - total moment (μB/atom) = 0.000

Which is the most stable structure? <B> is the most stable.

<A>
! TiW3I PBE optimized geometry; values from VASP
&SYSTEM
  ibrav = 0, nat = 5, ntyp = 3
/
ATOMIC_SPECIES
I 126.90 I.upf
W 183.84 W.upf
Ti 47.87 Ti.upf
CELL_PARAMETERS angstrom
-3.039 -3.500 0.865
1.127 0.152 4.576
-3.424 3.156 0.739
ATOMIC_POSITIONS angstrom
I -2.668 -0.096 3.090
W 0.564 0.076 2.288
W -1.712 1.578 0.369
W -1.520 -1.750 0.433
Ti 0.000 0.000 0.000
! - total moment (μB/atom) = 0.000

<B>
! TiW3I PBE optimized geometry; values from VASP
&SYSTEM
  ibrav = 0, nat = 5, ntyp = 3
/
ATOMIC_SPECIES
I 126.90 I.upf
W 183.84 W.upf
Ti 47.87 Ti.upf
CELL_PARAMETERS angstrom
-1.473 -1.380 4.385
-2.103 -3.892 -1.931
4.088 -2.499 0.586
ATOMIC_POSITIONS angstrom
I 0.000 0.000 0.000
W -1.051 -1.946 -0.965
W 2.044 -1.250 0.293
W -0.736 -0.690 2.192
Ti 0.256 -3.885 1.520
! - total moment (μB/atom) = 0.254

Which is the most stable structure? <A> is the most stable.

<A>
! TiW2I PBE optimized geometry; values from VASP
&SYSTEM
  ibrav = 0, nat = 8, ntyp = 3
/
ATOMIC_SPECIES
I 126.90 I.upf
W 183.84 W.upf
Ti 47.87 Ti.upf
CELL_PARAMETERS angstrom
3.822 0.000 0.000
0.000 3.822 0.000
1.911 1.911 10.530
ATOMIC_POSITIONS angstrom
I 0.000 0.000 0.000
I 3.822 1.911 5.265
W 2.830 0.956 2.632
W 0.992 2.867 2.632
W 2.867 2.904 7.897
W 4.778 4.741 7.897
Ti 1.911 1.911 0.000
Ti 1.911 3.822 5.265
! - total moment (μB/atom) = 0.000

<B>
! TiW2I PBE optimized geometry; values from VASP
&SYSTEM
  ibrav = 0, nat = 4, ntyp = 3
/
ATOMIC_SPECIES
I 126.90 I.upf
W 183.84 W.upf
Ti 47.87 Ti.upf
CELL_PARAMETERS angstrom
0.000 3.265 3.265
3.265 0.000 3.265
3.265 3.265 0.000
ATOMIC_POSITIONS angstrom
I 3.265 3.265 3.265
W 1.632 1.632 1.632
W 4.897 4.897 4.897
Ti 0.000 0.000 0.000
! - total moment (μB/atom) = 0.000

Which is the most stable structure? <B> is the most stable.

<A>
! Ti2WI PBE optimized geometry; values from VASP
&SYSTEM
  ibrav = 0, nat = 4, ntyp = 3
/
ATOMIC_SPECIES
I 126.90 I.upf
W 183.84 W.upf
Ti 47.87 Ti.upf
CELL_PARAMETERS angstrom
2.834 -1.616 3.334
-0.342 1.646 4.351
-1.700 -2.713 3.393
ATOMIC_POSITIONS angstrom
I 0.000 0.000 0.000
W 0.396 -1.342 5.539
Ti 0.198 -0.671 2.770
Ti 0.595 -2.012 8.309
! - total moment (μB/atom) = 0.000

<B>
! Ti2WI PBE optimized geometry; values from VASP
&SYSTEM
  ibrav = 0, nat = 8, ntyp = 3
/
ATOMIC_SPECIES
I 126.90 I.upf
W 183.84 W.upf
Ti 47.87 Ti.upf
CELL_PARAMETERS angstrom
-4.708 -1.143 -2.627
-1.101 -3.944 3.689
-6.238 2.090 4.490
ATOMIC_POSITIONS angstrom
I -2.904 -2.543 0.531
I -5.121 -2.199 4.355
W 0.000 0.000 0.000
W -6.925 -0.798 1.197
Ti -5.007 -0.774 -0.263
Ti -2.468 -1.996 3.305
Ti -6.770 -0.032 3.477
Ti -9.847 -3.192 4.585
! - total moment (μB/atom) = 0.000

Which is the most stable structure? <A> is the most stable.